No. 1
A relaxed structure of KTcRh2. Source: the Alexandria database, functional PBE.

Energy relative to the lowest polymorph listed for this composition, eV/atom: 0.627
Total energy, eV/atom: -5.5818
E_form, eV/atom: 0.960

```
KTcRh2
1.0
7.4185 0.0000 0.0000
0.0000 7.4185 0.0000
3.7093 3.7093 3.1047
K Rh Tc
2 4 2
Direct
0.5000 0.5000 0.0000
0.2500 0.7500 0.5000
0.6983 0.1250 0.2500
0.0517 0.6250 0.2500
0.3750 0.3017 0.7500
0.8750 0.9483 0.7500
0.0000 0.0000 0.0000
0.7500 0.2500 0.5000
```

No. 2
A relaxed structure of KCaAs2. Source: the Alexandria database, functional PBE.

Energy relative to the lowest polymorph listed for this composition, eV/atom: 0.183
Total energy, eV/atom: -3.6454
E_form, eV/atom: -0.546

```
KCaAs2
1.0
7.5503 0.0991 0.0831
5.0612 5.6037 -0.0831
-6.0810 -3.3486 2.9721
As Ca K
2 1 1
Direct
0.9810 0.9810 0.0000
0.8394 0.3394 0.5000
0.4663 0.4663 0.0000
0.2132 0.7132 0.5000
```

No. 3
A relaxed structure of Al2CdAu7. Source: the Alexandria database, functional PBE.

Energy relative to the lowest polymorph listed for this composition, eV/atom: 0.000
Total energy, eV/atom: -3.3759
E_form, eV/atom: -0.242

```
Al2CdAu7
1.0
4.1963 0.0000 -0.8074
-0.1554 4.1934 -0.8074
-0.1102 -0.1144 10.7348
Al Cd Au
2 1 7
Direct
0.6745 0.6745 0.3490
0.3255 0.3255 0.6510
0.0000 0.0000 0.0000
0.1014 0.6014 0.2028
0.3986 0.8986 0.7972
0.6014 0.1014 0.2028
0.5000 0.5000 0.0000
0.7500 0.2500 0.5000
0.8986 0.3986 0.7972
0.2500 0.7500 0.5000
```

No. 4
A relaxed structure of MnV2Sn. Source: the Alexandria database, functional PBE.

Total energy, eV/atom: -7.7834
E_form, eV/atom: 0.069

```
MnV2Sn
1.0
-0.4441 -2.4113 -2.1392
-1.5936 -1.7128 2.2615
-4.8863 2.3653 -1.6519
Mn Sn V
1 1 2
Direct
0.5000 0.5000 0.0000
0.5000 0.5000 0.5000
0.0000 0.0000 0.7969
0.0000 0.0000 0.2031
```

No. 5
A relaxed structure of Ca2CdRe. Source: the Alexandria database, functional PBE.

Total energy, eV/atom: -3.8706
E_form, eV/atom: 0.471

```
Ca2CdRe
1.0
-0.2637 4.3952 -4.9491
3.6046 -0.4801 -5.5369
-4.6240 -2.1349 4.2358
Re Ca Cd
1 2 1
Direct
0.2647 0.7647 0.5000
0.0403 0.0403 0.0000
0.7307 0.2307 0.5000
0.4642 0.4642 0.0000
```

No. 6
A relaxed structure of La2TbEr7. Source: the Alexandria database, functional PBE.

Energy relative to the lowest polymorph listed for this composition, eV/atom: 0.000
Total energy, eV/atom: -4.6143
E_form, eV/atom: 0.028

```
La2TbEr7
1.0
6.1043 0.8477 0.2321
0.9386 8.9467 -2.8454
0.8526 -0.2635 6.0842
La Tb Er
2 1 7
Direct
0.4978 0.7018 0.6020
0.5022 0.2982 0.3980
0.0000 0.0000 0.0000
0.0009 0.8007 0.3975
0.9991 0.1993 0.6025
0.9983 0.6001 0.8022
0.0017 0.3999 0.1978
0.5002 0.9009 0.2018
0.4998 0.0991 0.7982
0.5000 0.5000 0.0000
```